# PBE Ba2GePIr, relaxed
# N(E_F): 0.568 states/eV per atom
# V: 306.37 Å³ per cell
# ΔE to the lowest computed polymorph: 0 meV per atom
# total DFT energy (no corrections): -26.21 eV per formula unit
# total moment: 0.000 μB/cell
# calculated formation energy: -3.48 eV per formula unit
data_Ba2GePIr
_symmetry_space_group_name_H-M 'P 4/n m m'
_symmetry_Int_Tables_number 129
_cell_length_a 4.403
_cell_length_b 4.403
_cell_length_c 15.806
_cell_angle_alpha 90.00
_cell_angle_beta 90.00
_cell_angle_gamma 90.00
loop_
_symmetry_equiv_pos_as_xyz
'x,y,z'
'-x,-y,-z'
'-y+1/2,x,z'
'y+1/2,-x,-z'
'-x+1/2,-y+1/2,z'
'x+1/2,y+1/2,-z'
'y,-x+1/2,z'
'-y,x+1/2,-z'
'x+1/2,-y,-z'
'-x+1/2,y,z'
'-y,-x,-z'
'y,x,z'
'-x,y+1/2,-z'
'x,-y+1/2,z'
'y+1/2,x+1/2,-z'
'-y+1/2,-x+1/2,z'
loop_
_atom_site_label
_atom_site_type_symbol
_atom_site_fract_x
_atom_site_fract_y
_atom_site_fract_z
Ba1 Ba 0.250 0.250 0.093
Ba2 Ba 0.250 0.250 0.679
Ge1 Ge 0.250 0.250 0.421
P1 P 0.250 0.250 0.874
Ir1 Ir 0.250 0.750 0.500